Arrangement one

# La2Pm7Dy (PBE, relaxed)
# theoretical density	6.89	Mg/m³
# DOS(E_F)	16.36	states/eV/f.u.
# magnetic moment	0.00	μB/cell
data_La2Pm7Dy
_chemical_formula_sum 'La4 Pm14 Dy2'
_cell_length_a 6.767
_cell_length_b 29.376
_cell_length_c 3.529
_cell_angle_alpha 90.00
_cell_angle_beta 90.00
_cell_angle_gamma 90.00
_symmetry_space_group_name_H-M 'C m m m'
_symmetry_Int_Tables_number 65
_symmetry_space_group_name_Hall '-C 2 2'
loop_
_atom_site_label
_atom_site_type_symbol
_atom_site_fract_x
_atom_site_fract_y
_atom_site_fract_z
La1 La 0.000 0.205 0.000
Pm1 Pm 0.000 0.000 0.000
Pm2 Pm 0.000 0.313 0.500
Pm3 Pm 0.244 0.402 0.000
Dy1 Dy 0.000 0.500 0.500

Arrangement two

# La2Pm7Dy (PBE, relaxed)
# theoretical density	6.72	Mg/m³
# DOS(E_F)	15.05	states/eV/f.u.
# magnetic moment	0.00	μB/cell
data_La2Pm7Dy
_chemical_formula_sum 'La4 Pm14 Dy2'
_cell_length_a 11.985
_cell_length_b 16.848
_cell_length_c 3.564
_cell_angle_alpha 90.00
_cell_angle_beta 90.00
_cell_angle_gamma 90.00
_symmetry_space_group_name_H-M 'C m m m'
_symmetry_Int_Tables_number 65
_symmetry_space_group_name_Hall '-C 2 2'
loop_
_atom_site_label
_atom_site_type_symbol
_atom_site_fract_x
_atom_site_fract_y
_atom_site_fract_z
La1 La 0.000 0.174 0.000
Pm1 Pm 0.000 0.326 0.500
Pm2 Pm 0.000 0.500 0.000
Pm3 Pm 0.248 0.375 0.000
Dy1 Dy 0.000 0.000 0.500

Of them, the most stable is arrangement one and the least stable is arrangement two.

Arrangement one

# La2Pm2Dy (PBE, relaxed)
# theoretical density	6.97	Mg/m³
# DOS(E_F)	8.48	states/eV/f.u.
# magnetic moment	0.00	μB/cell
data_La2Pm2Dy
_chemical_formula_sum 'La4 Pm4 Dy2'
_cell_length_a 3.667
_cell_length_b 5.166
_cell_length_c 18.381
_cell_angle_alpha 90.00
_cell_angle_beta 90.00
_cell_angle_gamma 90.00
_symmetry_space_group_name_H-M 'I m m m'
_symmetry_Int_Tables_number 71
_symmetry_space_group_name_Hall '-I 2 2'
loop_
_atom_site_label
_atom_site_type_symbol
_atom_site_fract_x
_atom_site_fract_y
_atom_site_fract_z
La1 La 0.000 0.000 0.099
Pm1 Pm 0.000 0.000 0.299
Dy1 Dy 0.000 0.000 0.500

Arrangement two

# La2Pm2Dy (PBE, relaxed)
# theoretical density	6.69	Mg/m³
# DOS(E_F)	8.73	states/eV/f.u.
# magnetic moment	0.00	μB/cell
data_La2Pm2Dy
_chemical_formula_sum 'La8 Pm8 Dy4'
_cell_length_a 8.835
_cell_length_b 9.810
_cell_length_c 9.019
_cell_angle_alpha 90.00
_cell_angle_beta 111.97
_cell_angle_gamma 90.00
_symmetry_space_group_name_H-M 'C 1 2/c 1'
_symmetry_Int_Tables_number 15
_symmetry_space_group_name_Hall '-C 2yc'
loop_
_atom_site_label
_atom_site_type_symbol
_atom_site_fract_x
_atom_site_fract_y
_atom_site_fract_z
La1 La 0.160 0.088 0.137
Pm1 Pm 0.000 0.500 0.000
Pm2 Pm 0.250 0.250 0.500
Dy1 Dy 0.000 0.203 0.750

Of them, the most stable is arrangement one and the least stable is arrangement two.

Arrangement one

# LaPm3Dy3 (PBE, relaxed)
# theoretical density	7.43	Mg/m³
# DOS(E_F)	12.12	states/eV/f.u.
# magnetic moment	0.00	μB/cell
data_LaPm3Dy3
_chemical_formula_sum 'La2 Pm6 Dy6'
_cell_length_a 9.7074
_cell_length_b 9.7074
_cell_length_c 5.8126
_cell_angle_alpha 90.00
_cell_angle_beta 90.00
_cell_angle_gamma 120.00
_symmetry_space_group_name_H-M 'P 63/m'
_symmetry_Int_Tables_number 176
_symmetry_space_group_name_Hall '-P 6c'
loop_
_atom_site_label
_atom_site_type_symbol
_atom_site_fract_x
_atom_site_fract_y
_atom_site_fract_z
La1 La 0.3333 0.6667 0.2500
Pm1 Pm 0.0953 0.4749 0.7500
Dy1 Dy 0.0456 0.2325 0.2500

Arrangement two

# LaPm3Dy3 (PBE, relaxed)
# theoretical density	7.17	Mg/m³
# DOS(E_F)	10.93	states/eV/f.u.
# magnetic moment	0.00	μB/cell
data_LaPm3Dy3
_chemical_formula_sum 'La6 Pm18 Dy18'
_cell_length_a 8.7517
_cell_length_b 8.7517
_cell_length_c 22.2497
_cell_angle_alpha 90.00
_cell_angle_beta 90.00
_cell_angle_gamma 120.00
_symmetry_space_group_name_H-M 'R -3'
_symmetry_Int_Tables_number 148
_symmetry_space_group_name_Hall '-R 3'
loop_
_atom_site_label
_atom_site_type_symbol
_atom_site_fract_x
_atom_site_fract_y
_atom_site_fract_z
La1 La 0.0000 0.0000 0.1529
Pm1 Pm 0.0515 0.6033 0.3800
Dy1 Dy 0.0048 0.7741 0.5589

Of them, the most stable is arrangement one and the least stable is arrangement two.

Arrangement one

# LaPmDy3 (PBE, relaxed)
# theoretical density	7.60	Mg/m³
# DOS(E_F)	8.03	states/eV/f.u.
# magnetic moment	0.00	μB/cell
data_LaPmDy3
_chemical_formula_sum 'La2 Pm2 Dy6'
_cell_length_a 6.602
_cell_length_b 6.757
_cell_length_c 8.227
_cell_angle_alpha 74.47
_cell_angle_beta 72.36
_cell_angle_gamma 84.41
_symmetry_space_group_name_H-M 'P -1'
_symmetry_Int_Tables_number 2
_symmetry_space_group_name_Hall '-P 1'
loop_
_atom_site_label
_atom_site_type_symbol
_atom_site_fract_x
_atom_site_fract_y
_atom_site_fract_z
La1 La 0.098 0.293 0.143
Pm1 Pm 0.116 0.250 0.670
Dy1 Dy 0.326 0.842 0.993
Dy2 Dy 0.331 0.915 0.405
Dy3 Dy 0.493 0.543 0.707

Arrangement two

# LaPmDy3 (PBE, relaxed)
# theoretical density	7.07	Mg/m³
# DOS(E_F)	7.89	states/eV/f.u.
# magnetic moment	0.00	μB/cell
data_LaPmDy3
_chemical_formula_sum 'La2 Pm2 Dy6'
_cell_length_a 3.668
_cell_length_b 11.695
_cell_length_c 8.649
_cell_angle_alpha 90.00
_cell_angle_beta 102.23
_cell_angle_gamma 90.00
_symmetry_space_group_name_H-M 'P 1 21/m 1'
_symmetry_Int_Tables_number 11
_symmetry_space_group_name_Hall '-P 2yb'
loop_
_atom_site_label
_atom_site_type_symbol
_atom_site_fract_x
_atom_site_fract_y
_atom_site_fract_z
La1 La 0.189 0.250 0.376
Pm1 Pm 0.481 0.750 0.970
Dy1 Dy 0.147 0.750 0.298
Dy2 Dy 0.344 0.003 0.688

Of them, the most stable is arrangement one and the least stable is arrangement two.